Entry from Alexandria: a relaxed structure of K2CuRe (PBE).

Calculated values
As for the calculated volume: 89 Å³/cell. The calculation puts the formation energy at 1358.8 meV per atom. As for the excess energy over the best structure of this formula in the dataset: 1.82 eV/f.u. The final energy is -3.3260 eV per atom. As for the calculated density: 6.13 Mg/m³.

Cell and atoms, written as CIF:
```
data_K2CuRe
_cell_length_a 6.2965
_cell_length_b 6.2965
_cell_length_c 2.7173
_cell_angle_alpha 91.23
_cell_angle_beta 91.23
_cell_angle_gamma 124.34
_space_group_name_H-M_alt 'P 1'
_space_group_IT_number 1
_space_group_name_Hall 'P 1'
loop_
_atom_site_label
_atom_site_fract_x
_atom_site_fract_y
_atom_site_fract_z
Re1 0.5000 0.0000 0.5000
K1 0.5000 0.5000 0.0000
K2 0.0000 0.0000 0.0000
Cu1 0.0000 0.5000 0.5000
```